## LiCd5In3 (PBE-GGA)

Data for an optimized crystal structure of LiCd5In3.

calculated formation energy	0.6	eV/f.u.
volume	25.4	Å³/atom

Lattice parameters (Å, degrees): 8.7775 8.7775 11.8477 90.00 90.00 90.00
With the nearest neighbours (Å) after each atom.
Space group I4/mcm (No. 140)
Inequivalent atoms, fractional coordinates:
Li  0.0000  0.5000  0.2500  4 Cd 2.73
Cd  0.0000  0.0000  0.0000  2 In 2.96
Cd  0.1944  0.3056  0.1414  1 Li 2.73, 1 In 2.90, 1 Cd 2.92
In  0.0000  0.0000  0.2500  2 Cd 2.96
In  0.1151  0.3849  0.5000  1 In 2.86, 2 Cd 2.90